# 1
First-principles (PBE) data for a geometry-optimized RbCdMo structure, as listed in OQMD.

Unit cell a=5.409 b=5.409 c=5.409 alpha=60.00 beta=60.00 gamma=60.00
Sites, in units of the cell vectors:
Rb1 0.750 0.750 0.750
Cd1 0.000 0.000 0.000
Mo1 0.250 0.250 0.250

energy relative to the lowest polymorph listed for this composition: 0.000 eV/atom
crystal system: cubic

***

# 2
First-principles (PBE) data for a geometry-optimized LiAlAg2Cl6 structure, as listed in OQMD.

Unit cell a=6.714 b=6.714 c=6.714 alpha=60.00 beta=60.00 gamma=60.00
Sites, in units of the cell vectors:
Al1 0.000 0.000 0.000
Cl1 0.243 0.757 0.243
Cl2 0.757 0.243 0.757
Cl3 0.243 0.243 0.757
Cl4 0.757 0.243 0.243
Cl5 0.243 0.757 0.757
Cl6 0.757 0.757 0.243
Ag1 0.750 0.750 0.750
Ag2 0.250 0.250 0.250
Li1 0.500 0.500 0.500

electronic total energy: -3.18 eV/atom
crystal system: cubic

***

# 3
First-principles (PBE) data for a geometry-optimized KSmFeS3 structure, as listed in OQMD.

Unit cell a=8.812 b=4.008 c=9.369 alpha=90.00 beta=106.22 gamma=90.00
Each line ends with the local moment (μB).
Sites, in units of the cell vectors:
S1 0.396 0.750 0.659  0.11
S2 0.604 0.250 0.341  0.11
S3 0.952 0.750 0.656  0.02
S4 0.305 0.250 0.968  0.19
S5 0.048 0.250 0.344  0.02
S6 0.695 0.750 0.032  0.19
Sm1 0.168 0.250 0.650  0.02
Sm2 0.832 0.750 0.350  0.02
K1 0.294 0.750 0.262  0.00
K2 0.706 0.250 0.738  0.00
Fe1 0.575 0.250 0.092  3.25
Fe2 0.425 0.750 0.908  3.25

energy relative to the lowest polymorph listed for this composition: 0.000 eV/atom
crystal system: monoclinic

***

The V results, record by record, are as follows: 111.90, 214.02, 158.85 Å³/f.u..